CoCuPt2: optimized geometry, PBEsol. Values from VASP.

For the size of the total moment, the calculation gives 2.29 μB per cell. The value obtained for the total energy is -6.538 eV/atom. The crystal system is monoclinic. Its space-group type is C2/m, No. 12.

```
&SYSTEM
  ibrav = 0, nat = 4, ntyp = 3
/
ATOMIC_SPECIES
Co 58.93 Co.upf
Cu 63.55 Cu.upf
Pt 195.08 Pt.upf
CELL_PARAMETERS angstrom
4.2951 -1.3397 0.0000
4.2951 1.3397 0.0000
-0.8256 0.0000 4.5985
ATOMIC_POSITIONS angstrom
Co 0.0000 0.0000 0.0000
Cu 3.8823 0.0000 2.2992
Pt 1.5399 0.0000 3.4585
Pt 6.2248 0.0000 1.1400
```